Material: Li14Cu2S9
Method: DFT, GGA-PBE
State: relaxed

abc: 7.0042 7.0042 9.7355
angles: 90.00 90.00 120.00
Space group P-3 (No. 147)
Unique sites:
1 Li 0.0000 0.0000 0.2489 (multiplicity 2)
2 Li 0.0136 0.6690 0.4112 (multiplicity 6)
3 Li 0.0364 0.3641 0.0930 (multiplicity 6)
4 Cu 0.3333 0.6667 0.7568 (multiplicity 2)
5 S 0.0000 0.0000 0.5000 (multiplicity 1)
6 S 0.0323 0.3415 0.8388 (multiplicity 6)
7 S 0.3333 0.6667 0.5165 (multiplicity 2)

Properties
Total magnetization = 0.96 μB/f.u.
Volume = 413.6 Å³ per cell


Material: KNaSnBr6
Method: DFT, GGA-PBE
State: relaxed

abc: 7.4640 7.4640 13.8445
angles: 90.00 90.00 120.00
Space group P-31c (No. 163)
Unique sites:
1 K 0.0000 0.0000 0.0000 (multiplicity 2)
2 Na 0.3333 0.6667 0.2500 (multiplicity 2)
3 Sn 0.3333 0.6667 0.7500 (multiplicity 2)
4 Br 0.0345 0.3865 0.6382 (multiplicity 12)

Properties
Total magnetization = 0.00 μB/f.u.
Volume = 668.0 Å³ per cell


D(E_F) values (in states/eV per cell) by entry order: 17.4; 0.0.
ΔE_f (raw) values (in eV per atom) by entry order: -1.10; -1.09.